(1)
First-principles (PBE) data for a relaxed MnRhSe2 crystal, as listed in the Alexandria database.

Calculated values
* calculated total energy: -24.28 eV for the cell shown
* crystal system: trigonal

Cell: 6.190 6.190 6.190 Å, 35.85 35.85 35.85°
Atoms (fractional coordinates):
Mn (0.000, 0.000, 0.000)
Rh (0.500, 0.500, 0.500)
Se (0.246, 0.246, 0.246)
Se (0.754, 0.754, 0.754)

(2)
First-principles (PBE) data for a relaxed ScHgTe2 crystal, as listed in the Alexandria database.

Calculated values
* calculated total energy: -14.37 eV for the cell shown
* crystal system: tetragonal

Cell: 5.153 5.153 3.857 Å, 90.00 90.00 90.00°
Atoms (fractional coordinates):
Sc (0.000, 0.000, 0.000)
Hg (0.500, 0.500, 0.000)
Te (0.000, 0.500, 0.500)
Te (0.500, 0.000, 0.500)

(3)
First-principles (PBE) data for a relaxed BaTiV2 crystal, as listed in the Alexandria database.

Calculated values
* calculated total energy: -23.68 eV for the cell shown
* energy of formation from the pure elements: 1.09 eV/atom
* crystal system: cubic

Cell: 4.919 4.919 4.919 Å, 60.00 60.00 60.00°
Atoms (fractional coordinates):
Ba (0.000, 0.000, 0.000)
Ti (0.500, 0.500, 0.500)
V (0.250, 0.250, 0.250)
V (0.750, 0.750, 0.750)

(4)
First-principles (PBE) data for a relaxed Pr4S3N crystal, as listed in the Alexandria database.

Calculated values
* calculated total energy: -54.43 eV for the cell shown
* crystal system: orthorhombic

Cell: 6.991 6.991 3.953 Å, 90.00 90.00 108.70°
Atoms (fractional coordinates):
Pr (0.219, 0.219, 0.500)
Pr (0.231, 0.769, 0.000)
Pr (0.769, 0.231, 0.000)
Pr (0.781, 0.781, 0.500)
S (0.000, 0.500, 0.500)
S (0.500, 0.000, 0.500)
S (0.500, 0.500, 0.000)
N (0.000, 0.000, 0.000)

(5)
First-principles (PBE) data for a relaxed Sr3HfSc crystal, as listed in the Alexandria database.

Calculated values
* calculated total energy: -15.81 eV for the cell shown
* energy of formation from the pure elements: 1.10 eV/atom
* crystal system: cubic

Cell: 6.072 6.072 6.072 Å, 90.00 90.00 90.00°
Atoms (fractional coordinates):
Sr (0.000, 0.000, 0.500)
Sr (0.000, 0.500, 0.000)
Sr (0.500, 0.000, 0.000)
Hf (0.000, 0.000, 0.000)
Sc (0.500, 0.500, 0.500)

(6)
First-principles (PBE) data for a relaxed AcLaPm6Nd2 crystal, as listed in the Alexandria database.

Calculated values
* calculated total energy: -91.79 eV for the cell shown
* energy of formation from the pure elements: 0.12 eV/atom
* crystal system: monoclinic

Cell: 9.184 9.184 9.932 Å, 93.22 93.22 118.85°
Atoms (fractional coordinates):
Ac (0.026, 0.974, 0.750)
Ac (0.974, 0.026, 0.250)
La (0.408, 0.592, 0.250)
La (0.592, 0.408, 0.750)
Pm (0.027, 0.563, 0.682)
Pm (0.124, 0.746, 0.056)
Pm (0.254, 0.876, 0.444)
Pm (0.292, 0.502, 0.881)
Pm (0.437, 0.973, 0.818)
Pm (0.498, 0.708, 0.619)
Pm (0.502, 0.292, 0.381)
Pm (0.563, 0.027, 0.182)
Pm (0.708, 0.498, 0.119)
Pm (0.746, 0.124, 0.556)
Pm (0.876, 0.254, 0.944)
Pm (0.973, 0.437, 0.318)
Nd (0.190, 0.307, 0.544)
Nd (0.307, 0.190, 0.044)
Nd (0.693, 0.810, 0.956)
Nd (0.810, 0.693, 0.456)